Entry 1:
A geometry-optimized ScTl3F8 structure. Source: the Alexandria database, functional PBE.

Properties
DFT total energy = -56.97 eV per formula unit
formation energy from raw total energies = -2380 meV per atom

Cell lengths 6.809, 6.809, 6.809 Å; angles 127.82, 127.82, 76.92 degrees
Atoms (fractional coordinates):
Sc1 0.000 0.000 0.000
Tl1 0.250 0.750 0.500
Tl2 0.500 0.500 0.000
Tl3 0.750 0.250 0.500
F1 0.089 0.089 0.421
F2 0.089 0.667 0.000
F3 0.333 0.333 0.421
F4 0.333 0.911 0.000
F5 0.667 0.089 0.000
F6 0.667 0.667 0.579
F7 0.911 0.333 0.000
F8 0.911 0.911 0.579

Entry 2:
A geometry-optimized Sc2Tl5F12 structure. Source: the Alexandria database, functional PBE.

Properties
DFT total energy = -97.16 eV per formula unit
formation energy from raw total energies = -2643 meV per atom

Cell lengths 7.928, 7.928, 7.609 Å; angles 110.78, 110.78, 75.19 degrees
Atoms (fractional coordinates):
Sc1 0.174 0.826 0.000
Sc2 0.826 0.174 0.000
Tl1 0.000 0.000 0.500
Tl2 0.279 0.279 0.954
Tl3 0.356 0.356 0.546
Tl4 0.644 0.644 0.454
Tl5 0.721 0.721 0.046
F1 0.075 0.749 0.167
F2 0.101 0.101 0.160
F3 0.190 0.572 0.818
F4 0.251 0.925 0.833
F5 0.427 0.427 0.282
F6 0.428 0.810 0.182
F7 0.572 0.190 0.818
F8 0.573 0.573 0.718
F9 0.749 0.075 0.167
F10 0.810 0.428 0.182
F11 0.899 0.899 0.840
F12 0.925 0.251 0.833